# 1
Computed, not measured: crystalline NaPaGaI6 at its relaxed geometry at the GGA-PBE level of DFT.

For the density, the calculation gives 4.49 g/cm3. The space-group type is P-31c. As for the electronic total energy: -3.46 eV per atom. For the formation energy without anion corrections, the calculation gives -0.89 eV per atom.

Unit cell a=8.0747 b=8.0747 c=14.2199 alpha=90.00 beta=90.00 gamma=120.00
Site moments in Bohr magnetons follow the coordinates.
Element x y z (fractional)
Na 0.0000 0.0000 0.0000  0.00
Na 0.0000 0.0000 0.5000  0.00
Pa 0.6667 0.3333 0.2500  1.09
Pa 0.3333 0.6667 0.7500  1.09
Ga 0.3333 0.6667 0.2500  0.00
Ga 0.6667 0.3333 0.7500  0.00
I 0.6646 0.6418 0.1278  -0.02
I 0.9772 0.3354 0.1278  -0.02
I 0.3354 0.9772 0.6278  -0.02
I 0.0228 0.6646 0.8722  -0.02
I 0.3582 0.3354 0.3722  -0.02
I 0.9772 0.6418 0.3722  -0.02
I 0.6418 0.9772 0.8722  -0.02
I 0.6646 0.0228 0.3722  -0.02
I 0.0228 0.3582 0.6278  -0.02
I 0.3582 0.0228 0.1278  -0.02
I 0.6418 0.6646 0.6278  -0.02
I 0.3354 0.3582 0.8722  -0.02

---

# 2
Computed, not measured: crystalline Na2GaPbI4 at its relaxed geometry at the GGA-PBE level of DFT.

For the density, the calculation gives 4.58 g/cm3. The space-group type is I-4m2. As for the electronic total energy: -2.64 eV per atom. For the formation energy without anion corrections, the calculation gives -0.69 eV per atom.

Unit cell a=6.7840 b=6.7840 c=8.1140 alpha=114.72 beta=114.71 gamma=90.00
Site moments in Bohr magnetons follow the coordinates.
Element x y z (fractional)
Na 0.2500 0.7500 0.5000  0.00
Na 0.0000 0.0000 0.0000  0.00
Ga 0.5000 0.5000 0.0000  0.01
Pb 0.7500 0.2500 0.5000  0.22
I 0.0036 0.5036 0.0072  0.00
I 0.4964 0.9964 0.9928  0.00
I 0.7537 0.7537 0.5075  0.01
I 0.2463 0.2463 0.4925  0.01

---

# 3
Computed, not measured: crystalline NaGaPb2I6 at its relaxed geometry at the GGA-PBE level of DFT.

For the density, the calculation gives 4.87 g/cm3. The space-group type is R3. As for the electronic total energy: -2.79 eV per atom. For the formation energy without anion corrections, the calculation gives -0.68 eV per atom.

Unit cell a=8.1799 b=8.1801 c=8.8300 alpha=62.40 beta=62.41 gamma=60.01
Element x y z (fractional)
Na 0.3208 0.3208 0.0375
Ga 0.8219 0.8220 0.5343
Pb 0.5091 0.5091 0.4725
Pb 0.0090 0.0089 0.9728
I 0.6056 0.2306 0.2475
I 0.2306 0.9163 0.2475
I 0.9164 0.6056 0.2477
I 0.4095 0.7272 0.7517
I 0.7270 0.1116 0.7518
I 0.1116 0.4096 0.7518

---

# 4
Computed, not measured: crystalline Na2PuGaI6 at its relaxed geometry at the GGA-PBE level of DFT.

For the density, the calculation gives 4.48 g/cm3. The space-group type is R3. As for the electronic total energy: -3.91 eV per atom. For the formation energy without anion corrections, the calculation gives -0.98 eV per atom.

Unit cell a=8.0364 b=8.0369 c=8.7554 alpha=62.67 beta=62.67 gamma=59.99
Site moments in Bohr magnetons follow the coordinates.
Element x y z (fractional)
Na 0.5154 0.5153 0.4541  0.00
Na 0.0069 0.0070 0.9787  0.00
Pu 0.3271 0.3271 0.0186  5.15
Ga 0.8204 0.8203 0.5393  -0.01
I 0.5823 0.2280 0.2509  -0.03
I 0.2280 0.9387 0.2508  -0.03
I 0.9388 0.5824 0.2510  -0.03
I 0.4108 0.7205 0.7571  -0.03
I 0.7205 0.1114 0.7572  -0.03
I 0.1114 0.4109 0.7573  -0.03

---

# 5
Computed, not measured: crystalline RbNaGa2I4 at its relaxed geometry at the GGA-PBE level of DFT.

For the density, the calculation gives 3.88 g/cm3. The space-group type is P2/m. As for the electronic total energy: -2.64 eV per atom. For the formation energy without anion corrections, the calculation gives -0.83 eV per atom.

Unit cell a=4.8398 b=8.3892 c=8.4296 alpha=70.68 beta=90.00 gamma=90.00
Element x y z (fractional)
Rb 0.5000 0.5000 0.0000
Na 0.0000 0.5000 0.5000
Ga 0.0000 0.0000 0.0000
Ga 0.5000 0.0000 0.5000
I 0.0000 0.7670 0.7276
I 0.0000 0.2330 0.2724
I 0.5000 0.7563 0.2628
I 0.5000 0.2437 0.7372

---

# 6
Computed, not measured: crystalline Rb2NaGaI4 at its relaxed geometry at the GGA-PBE level of DFT.

For the density, the calculation gives 3.68 g/cm3. The space-group type is P2/m. As for the electronic total energy: -2.69 eV per atom. For the formation energy without anion corrections, the calculation gives -1.13 eV per atom.

Unit cell a=4.9492 b=8.6757 c=8.5924 alpha=70.83 beta=90.00 gamma=90.00
Element x y z (fractional)
Rb 0.0000 0.0000 0.0000
Rb 0.5000 0.0000 0.5000
Na 0.0000 0.5000 0.5000
Ga 0.5000 0.5000 0.0000
I 0.0000 0.7182 0.7573
I 0.0000 0.2818 0.2427
I 0.5000 0.7167 0.2643
I 0.5000 0.2833 0.7357

---

# 7
Computed, not measured: crystalline Rb2NaGaI6 at its relaxed geometry at the GGA-PBE level of DFT.

For the density, the calculation gives 3.99 g/cm3. The space-group type is Fm-3m. As for the electronic total energy: -2.50 eV per atom. For the formation energy without anion corrections, the calculation gives -0.95 eV per atom.

Unit cell a=8.4522 b=8.4522 c=8.4512 alpha=60.00 beta=60.00 gamma=90.00
Element x y z (fractional)
I 0.2361 0.2361 0.5279
I 0.7639 0.7639 0.4721
I 0.2358 0.2358 0.0000
I 0.7642 0.7642 0.0000
I 0.7642 0.2358 0.0000
I 0.2358 0.7642 0.0000
Na 0.5000 0.5000 0.0000
Ga 0.0000 0.0000 0.0000
Rb 0.7500 0.2500 0.5000
Rb 0.2500 0.7500 0.5000

---

# 8
Computed, not measured: crystalline NaGa2RuI at its relaxed geometry at the GGA-PBE level of DFT.

For the density, the calculation gives 3.33 g/cm3. The space-group type is P4/mmm. As for the electronic total energy: -2.42 eV per atom. For the formation energy without anion corrections, the calculation gives 1.22 eV per atom.

Unit cell a=5.9523 b=5.4886 c=5.9523 alpha=90.00 beta=90.00 gamma=90.00
Site moments in Bohr magnetons follow the coordinates.
Element x y z (fractional)
I 0.0000 0.0000 0.0000  -0.01
Ru 0.5000 0.5000 0.5000  2.43
Ga 0.0000 0.0000 0.5000  -0.05
Ga 0.5000 0.0000 0.0000  -0.05
Na 0.0000 0.5000 0.0000  -0.01

---

# 9
Computed, not measured: crystalline NaGaSb2I at its relaxed geometry at the GGA-PBE level of DFT.

For the density, the calculation gives 4.21 g/cm3. The space-group type is P4/mmm. As for the electronic total energy: -2.28 eV per atom. For the formation energy without anion corrections, the calculation gives 0.55 eV per atom.

Unit cell a=5.4553 b=5.4553 c=6.1340 alpha=90.00 beta=90.00 gamma=90.00
Element x y z (fractional)
I 0.0000 0.0000 0.5000
Sb 0.0000 0.5000 0.0000
Sb 0.5000 0.0000 0.0000
Ga 0.5000 0.5000 0.5000
Na 0.0000 0.0000 0.0000

---

# 10
Computed, not measured: crystalline NaGaSb2I at its relaxed geometry at the GGA-PBE level of DFT.

For the density, the calculation gives 4.19 g/cm3. The space-group type is P4/mmm. As for the electronic total energy: -2.72 eV per atom. For the formation energy without anion corrections, the calculation gives 0.11 eV per atom.

Unit cell a=5.2868 b=5.2868 c=6.5594 alpha=90.00 beta=90.00 gamma=90.00
Element x y z (fractional)
I 0.0000 0.0000 0.5000
Sb 0.0000 0.5000 0.0000
Sb 0.5000 0.0000 0.0000
Ga 0.0000 0.0000 0.0000
Na 0.5000 0.5000 0.5000

---

# 11
Computed, not measured: crystalline Na2GaSbI6 at its relaxed geometry at the GGA-PBE level of DFT.

For the density, the calculation gives 4.08 g/cm3. The space-group type is R3. As for the electronic total energy: -2.60 eV per atom. For the formation energy without anion corrections, the calculation gives -0.69 eV per atom.

Unit cell a=8.0230 b=8.0232 c=8.6438 alpha=62.34 beta=62.34 gamma=59.99
Element x y z (fractional)
Na 0.5175 0.5175 0.4474
Na 0.0084 0.0084 0.9749
Ga 0.8219 0.8219 0.5344
Sb 0.3277 0.3277 0.0170
I 0.5812 0.2210 0.2516
I 0.2210 0.9461 0.2515
I 0.9462 0.5812 0.2516
I 0.4180 0.7118 0.7622
I 0.7118 0.1079 0.7623
I 0.1078 0.4181 0.7623

---

# 12
Computed, not measured: crystalline Na2GaSbI at its relaxed geometry at the GGA-PBE level of DFT.

For the density, the calculation gives 3.19 g/cm3. The space-group type is P4/mmm. As for the electronic total energy: -2.45 eV per atom. For the formation energy without anion corrections, the calculation gives -0.18 eV per atom.

Unit cell a=6.1040 b=5.0838 c=6.1040 alpha=90.00 beta=90.00 gamma=90.00
Element x y z (fractional)
I 0.5000 0.5000 0.5000
Sb 0.0000 0.5000 0.0000
Ga 0.0000 0.0000 0.0000
Na 0.0000 0.0000 0.5000
Na 0.5000 0.0000 0.0000

---

# 13
Computed, not measured: crystalline NaScGa2I6 at its relaxed geometry at the GGA-PBE level of DFT.

For the density, the calculation gives 4.07 g/cm3. The space-group type is R3. As for the electronic total energy: -3.16 eV per atom. For the formation energy without anion corrections, the calculation gives -0.86 eV per atom.

Unit cell a=8.0268 b=8.0275 c=8.4641 alpha=61.68 beta=61.70 gamma=60.00
Element x y z (fractional)
Na 0.8208 0.8208 0.5379
Sc 0.3269 0.3269 0.0192
Ga 0.5162 0.5161 0.4514
Ga 0.0104 0.0105 0.9689
I 0.5689 0.2145 0.2452
I 0.2145 0.9713 0.2452
I 0.9713 0.5690 0.2452
I 0.4282 0.6926 0.7674
I 0.6926 0.1117 0.7675
I 0.1117 0.4282 0.7675

---

# 14
Computed, not measured: crystalline Na2SmGaI6 at its relaxed geometry at the GGA-PBE level of DFT.

For the density, the calculation gives 4.11 g/cm3. The space-group type is R3. As for the electronic total energy: -3.09 eV per atom. For the formation energy without anion corrections, the calculation gives -1.12 eV per atom.

Unit cell a=8.0746 b=8.0730 c=8.7125 alpha=62.37 beta=62.36 gamma=59.98
Element x y z (fractional)
Na 0.5158 0.5156 0.4531
Na 0.0073 0.0074 0.9778
Sm 0.3264 0.3263 0.0209
Ga 0.8189 0.8189 0.5432
I 0.5831 0.2299 0.2483
I 0.2298 0.9386 0.2482
I 0.9387 0.5833 0.2483
I 0.4082 0.7204 0.7583
I 0.7205 0.1129 0.7584
I 0.1130 0.4083 0.7586

---

# 15
Computed, not measured: crystalline NaSmGa2I6 at its relaxed geometry at the GGA-PBE level of DFT.

For the density, the calculation gives 4.22 g/cm3. The space-group type is R3. As for the electronic total energy: -3.08 eV per atom. For the formation energy without anion corrections, the calculation gives -0.94 eV per atom.

Unit cell a=8.1874 b=8.1871 c=8.6882 alpha=61.86 beta=61.86 gamma=59.97
Element x y z (fractional)
Na 0.8189 0.8191 0.5432
Sm 0.3254 0.3253 0.0239
Ga 0.5144 0.5143 0.4570
Ga 0.0100 0.0100 0.9700
I 0.5851 0.2120 0.2505
I 0.2120 0.9522 0.2505
I 0.9523 0.5853 0.2506
I 0.4235 0.7087 0.7563
I 0.7089 0.1111 0.7566
I 0.1113 0.4236 0.7566

---

# 16
Computed, not measured: crystalline Na2GaSnI5 at its relaxed geometry at the GGA-PBE level of DFT.

For the density, the calculation gives 3.87 g/cm3. The space-group type is Cmc2_1. As for the electronic total energy: -2.70 eV per atom. For the formation energy without anion corrections, the calculation gives -0.76 eV per atom.

Unit cell a=4.5447 b=9.9940 c=16.8659 alpha=90.00 beta=90.00 gamma=103.14
Element x y z (fractional)
Na 0.8535 0.7070 0.7506
Na 0.0443 0.0886 0.6606
Na 0.1465 0.2930 0.2506
Na 0.9557 0.9114 0.1606
Ga 0.5694 0.1389 0.9368
Ga 0.4306 0.8611 0.4368
Sn 0.7284 0.4568 0.5366
Sn 0.2716 0.5432 0.0366
I 0.4303 0.8605 0.0290
I 0.7543 0.5087 0.9050
I 0.4692 0.9383 0.7687
I 0.2226 0.4452 0.6766
I 0.8922 0.7844 0.5600
I 0.5697 0.1395 0.5290
I 0.2457 0.4913 0.4050
I 0.5308 0.0617 0.2687
I 0.7774 0.5548 0.1766
I 0.1078 0.2156 0.0600

---

# 17
Computed, not measured: crystalline Na2GaSnI4 at its relaxed geometry at the GGA-PBE level of DFT.

For the density, the calculation gives 4.17 g/cm3. The space-group type is I-4m2. As for the electronic total energy: -2.64 eV per atom. For the formation energy without anion corrections, the calculation gives -0.65 eV per atom.

Unit cell a=6.7304 b=6.7304 c=8.0717 alpha=114.65 beta=114.64 gamma=90.00
Site moments in Bohr magnetons follow the coordinates.
Element x y z (fractional)
Na 0.2500 0.7500 0.5000  0.00
Na 0.0000 0.0000 0.0000  0.00
Ga 0.5000 0.5000 0.0000  0.00
Sn 0.7500 0.2500 0.5000  0.25
I 0.0008 0.5008 0.0017  0.00
I 0.4992 0.9992 0.9983  0.00
I 0.7532 0.7532 0.5065  0.01
I 0.2468 0.2468 0.4935  0.01

---

# 18
Computed, not measured: crystalline NaGaSn2I6 at its relaxed geometry at the GGA-PBE level of DFT.

For the density, the calculation gives 4.29 g/cm3. The space-group type is R3. As for the electronic total energy: -2.77 eV per atom. For the formation energy without anion corrections, the calculation gives -0.60 eV per atom.

Unit cell a=8.1258 b=8.1264 c=8.7556 alpha=62.36 beta=62.36 gamma=60.00
Element x y z (fractional)
Na 0.3193 0.3192 0.0422
Ga 0.8209 0.8209 0.5375
Sn 0.5056 0.5056 0.4833
Sn 0.0062 0.0063 0.9812
I 0.6147 0.2352 0.2432
I 0.2352 0.9069 0.2432
I 0.9069 0.6147 0.2432
I 0.3996 0.7325 0.7471
I 0.7324 0.1208 0.7471
I 0.1208 0.3997 0.7472

---

# 19
Computed, not measured: crystalline Na2GaSnI at its relaxed geometry at the GGA-PBE level of DFT.

For the density, the calculation gives 3.05 g/cm3. The space-group type is P4/mmm. As for the electronic total energy: -2.40 eV per atom. For the formation energy without anion corrections, the calculation gives -0.16 eV per atom.

Unit cell a=6.1137 b=5.2572 c=6.1137 alpha=90.00 beta=90.00 gamma=90.00
Element x y z (fractional)
I 0.5000 0.5000 0.5000
Na 0.0000 0.0000 0.5000
Na 0.5000 0.0000 0.0000
Sn 0.0000 0.0000 0.0000
Ga 0.0000 0.5000 0.0000

---

# 20
Computed, not measured: crystalline NaTbGa2I6 at its relaxed geometry at the GGA-PBE level of DFT.

For the density, the calculation gives 4.31 g/cm3. The space-group type is R3. As for the electronic total energy: -3.07 eV per atom. For the formation energy without anion corrections, the calculation gives -0.94 eV per atom.

Unit cell a=8.1567 b=8.1571 c=8.6415 alpha=61.82 beta=61.82 gamma=59.98
Element x y z (fractional)
Na 0.8194 0.8196 0.5416
Tb 0.3259 0.3259 0.0222
Ga 0.5147 0.5146 0.4560
Ga 0.0103 0.0102 0.9695
I 0.5809 0.2121 0.2493
I 0.2121 0.9577 0.2493
I 0.9577 0.5810 0.2493
I 0.4257 0.7041 0.7593
I 0.7042 0.1107 0.7594
I 0.1108 0.4258 0.7594